Entry 1:
Compound: BeIn2Bi
Source: Alexandria
Functional: SCAN
Structure: single point on PBEsol structure

Cell lengths 7.296, 7.296, 7.296 Å; angles 90.00, 90.00, 90.00 degrees
Space group Fm-3m (No. 225)
Inequivalent atoms, fractional coordinates:
Be 0.000 0.000 0.000
In 0.250 0.250 0.250
Bi 0.000 0.000 0.500

Values from the calculation:
Energy of formation from the pure elements in eV per atom: 0.58

---

Entry 2:
Compound: LaBe2BiIr
Source: Alexandria
Functional: SCAN
Structure: single point on PBEsol structure

Cell lengths 4.598, 4.598, 5.744 Å; angles 90.00, 90.00, 90.00 degrees
Space group P4/mmm (No. 123)
Inequivalent atoms, fractional coordinates:
La 0.000 0.000 0.000
Be 0.000 0.500 0.000
Bi 0.000 0.000 0.500
Ir 0.500 0.500 0.500

Values from the calculation:
Energy of formation from the pure elements in eV per atom: 2.31

---

Entry 3:
Compound: BeBiIrOs2
Source: Alexandria
Functional: SCAN
Structure: single point on PBEsol structure

Cell lengths 4.693, 4.693, 5.236 Å; angles 90.00, 90.00, 90.00 degrees
Space group P4/mmm (No. 123)
Inequivalent atoms, fractional coordinates:
Be 0.000 0.000 0.000
Bi 0.500 0.500 0.000
Ir 0.500 0.500 0.500
Os 0.000 0.500 0.500

Values from the calculation:
Energy of formation from the pure elements in eV per atom: 2.30

---

Entry 4:
Compound: KBeBi3
Source: Alexandria
Functional: SCAN
Structure: single point on PBEsol structure

Cell lengths 5.263, 5.263, 5.263 Å; angles 90.00, 90.00, 90.00 degrees
Space group Pm-3m (No. 221)
Inequivalent atoms, fractional coordinates:
K 0.000 0.000 0.000
Be 0.500 0.500 0.500
Bi 0.000 0.500 0.500

Values from the calculation:
Energy of formation from the pure elements in eV per atom: 0.15

---

The lowest energy of formation from the pure elements belongs to which entry? KBeBi3

---

Number 1 is which compound? BeIn2Bi

---

The lowest energy of formation from the pure elements belongs to which entry? KBeBi3

---

What is the energy of formation from the pure elements in the fourth record? 0.15 eV per atom